## HfTl2W4 (PBE-GGA)

Data for a geometry-optimized HfTl2W4 structure.

Energy relative to the elements: 2.3366 eV per atom
Space group: I4/mmm (139)

Lattice parameters (Å, degrees): 4.7539 4.7539 7.9547 72.61 72.61 90.00
Sites, in units of the cell vectors:
Hf1 0.0000 0.0000 0.0000
W1 0.5000 0.0000 0.0000
W2 0.1697 0.1697 0.6605
W3 0.8303 0.8303 0.3395
W4 0.0000 0.5000 0.0000
Tl1 0.6383 0.6383 0.7235
Tl2 0.3617 0.3617 0.2765

***

## HfTl3W (PBE-GGA)

Data for a geometry-optimized HfTl3W structure.

Energy relative to the elements: 1.3905 eV per atom
Space group: Pm-3m (221)
Offset from the most stable computed form: 0.0 meV per atom

Lattice parameters (Å, degrees): 5.3257 5.3257 5.3257 90.00 90.00 90.00
Sites, in units of the cell vectors:
Tl1 0.0000 0.0000 0.5000
Tl2 0.0000 0.5000 0.0000
Tl3 0.5000 0.0000 0.0000
W1 0.0000 0.0000 0.0000
Hf1 0.5000 0.5000 0.5000

***

## HfTlZnW2 (PBE-GGA)

Data for a geometry-optimized HfTlZnW2 structure.

Energy relative to the elements: 2.1909 eV per atom
Space group: P4/mmm (123)

Lattice parameters (Å, degrees): 5.0680 4.5540 5.0680 90.00 90.00 90.00
Sites, in units of the cell vectors:
W1 0.0000 0.0000 0.5000
W2 0.5000 0.0000 0.0000
Zn1 0.0000 0.5000 0.0000
Hf1 0.5000 0.5000 0.5000
Tl1 0.0000 0.0000 0.0000

***

## Y2HfTl (PBE-GGA)

Data for a geometry-optimized Y2HfTl structure.

Energy relative to the elements: 0.3687 eV per atom
Space group: I-42d (122)
Offset from the most stable computed form: 465.6 meV per atom

Lattice parameters (Å, degrees): 8.4737 8.4737 6.7803 51.33 51.33 90.00
Sites, in units of the cell vectors:
Hf1 0.2500 0.7500 0.5000
Hf2 0.5000 0.5000 0.0000
Y1 0.8750 0.8891 0.7500
Y2 0.1109 0.6250 0.2500
Y3 0.3750 0.3609 0.7500
Y4 0.6391 0.1250 0.2500
Tl1 0.7500 0.2500 0.5000
Tl2 0.0000 0.0000 0.0000

***

Question: What is the energy relative to the elements in the first record?
Answer: 2.3366 eV per atom

***

Question: Among the records above, which one has the highest energy relative to the elements?
Answer: HfTl2W4